No. 1
An optimized crystal structure of MnInPd2. Source: Alexandria via LeMat-Bulk, functional GGA-PBE.

Unit cell a=3.592 b=4.294 c=4.294 alpha=90.00 beta=90.00 gamma=90.00
Site moments in Bohr magnetons follow the coordinates.
Element x y z (fractional)
1 Pd 0.000 0.000 0.500  0.13
2 In 0.500 0.500 0.500  -0.05
3 Pd 0.000 0.500 0.000  0.13
4 Mn 0.500 0.000 0.000  3.97

- space group = P4/mmm
- calculated formation energy (eV/atom) = -0.341
- D(E_F) (states/eV per cell) = 2.82

=====

No. 2
An optimized crystal structure of Mn2InPd6. Source: Alexandria via LeMat-Bulk, functional GGA-PBE.

Unit cell a=4.534 b=7.634 c=6.045 alpha=129.16 beta=112.03 gamma=90.00
Site moments in Bohr magnetons follow the coordinates.
Element x y z (fractional)
1 Pd 0.500 0.814 0.000  0.06
2 Pd 0.168 0.488 0.336  0.01
3 Pd 0.832 0.512 0.664  0.01
4 In 0.000 0.000 0.000  -0.01
5 Pd 0.168 0.848 0.336  0.01
6 Pd 0.832 0.152 0.664  0.01
7 Mn 0.381 0.381 0.762  1.25
8 Pd 0.500 0.186 0.000  0.06
9 Mn 0.619 0.619 0.238  1.25

- space group = Immm
- calculated formation energy (eV/atom) = 0.016
- D(E_F) (states/eV per cell) = 7.51

=====

No. 3
An optimized crystal structure of Mn2InPd3. Source: Alexandria via LeMat-Bulk, functional GGA-PBE.

Unit cell a=3.667 b=4.220 c=6.568 alpha=108.74 beta=90.00 gamma=90.00
Site moments in Bohr magnetons follow the coordinates.
Element x y z (fractional)
1 Pd 0.500 0.171 0.342  0.23
2 Mn 0.000 0.331 0.661  3.93
3 Mn 0.000 0.669 0.339  3.93
4 Pd 0.500 0.829 0.658  0.23
5 In 0.000 0.000 0.000  -0.04
6 Pd 0.500 0.500 0.000  0.18

- space group = Cmmm
- calculated formation energy (eV/atom) = -0.295
- D(E_F) (states/eV per cell) = 3.02

=====

No. 4
An optimized crystal structure of MnIn4Pd15. Source: Alexandria via LeMat-Bulk, functional GGA-PBE.

Unit cell a=4.018 b=4.018 c=20.020 alpha=90.00 beta=90.00 gamma=90.00
Site moments in Bohr magnetons follow the coordinates.
Element x y z (fractional)
1 Pd 0.000 0.500 0.297  0.02
2 Mn 0.000 0.000 0.000  -3.81
3 Pd 0.500 0.000 0.906  -0.06
4 Pd 0.500 0.000 0.703  0.02
5 In 0.000 0.000 0.399  0.00
6 In 0.000 0.000 0.601  0.00
7 Pd 0.000 0.500 0.703  0.02
8 Pd 0.000 0.500 0.906  -0.06
9 Pd 0.000 0.500 0.500  0.01
10 Pd 0.500 0.500 0.000  -0.12
11 Pd 0.500 0.500 0.195  0.01
12 In 0.000 0.000 0.196  0.01
13 Pd 0.500 0.500 0.602  0.02
14 In 0.000 0.000 0.804  0.01
15 Pd 0.500 0.500 0.398  0.02
16 Pd 0.500 0.000 0.500  0.01
17 Pd 0.500 0.000 0.297  0.02
18 Pd 0.000 0.500 0.094  -0.06
19 Pd 0.500 0.500 0.805  0.01
20 Pd 0.500 0.000 0.094  -0.06

- space group = P4/mmm
- calculated formation energy (eV/atom) = -0.386
- D(E_F) (states/eV per cell) = 18.41

=====

No. 5
An optimized crystal structure of MnInPd2. Source: Alexandria via LeMat-Bulk, functional GGA-PBE.

Unit cell a=4.021 b=4.021 c=9.522 alpha=77.81 beta=77.81 gamma=90.00
Site moments in Bohr magnetons follow the coordinates.
Element x y z (fractional)
1 In 0.750 0.250 0.500  -0.06
2 Pd 0.134 0.625 0.250  0.14
3 Pd 0.616 0.125 0.250  0.14
4 Pd 0.375 0.384 0.750  0.14
5 Mn 0.250 0.750 0.500  3.86
6 Mn 0.500 0.500 0.000  3.85
7 Pd 0.875 0.866 0.750  0.15
8 In 0.000 0.000 0.000  -0.06

- space group = I-42d
- calculated formation energy (eV/atom) = 0.054
- D(E_F) (states/eV per cell) = 5.77

=====

No. 6
An optimized crystal structure of MnInPd2. Source: Alexandria via LeMat-Bulk, functional GGA-PBE.

Unit cell a=3.267 b=3.267 c=6.190 alpha=90.00 beta=90.00 gamma=90.00
Site moments in Bohr magnetons follow the coordinates.
Element x y z (fractional)
1 Pd 0.000 0.000 0.237  0.11
2 In 0.500 0.500 0.500  -0.03
3 Mn 0.500 0.500 0.000  3.92
4 Pd 0.000 0.000 0.763  0.11

- space group = P4/mmm
- calculated formation energy (eV/atom) = -0.352
- D(E_F) (states/eV per cell) = 1.87

=====

No. 7
An optimized crystal structure of MnInPd6. Source: Alexandria via LeMat-Bulk, functional GGA-PBE.

Unit cell a=3.979 b=3.979 c=7.956 alpha=90.00 beta=90.00 gamma=90.00
Site moments in Bohr magnetons follow the coordinates.
Element x y z (fractional)
1 Pd 0.500 0.500 0.000  0.01
2 Pd 0.000 0.500 0.258  0.04
3 Pd 0.500 0.000 0.258  0.04
4 Pd 0.500 0.500 0.500  0.08
5 Pd 0.000 0.500 0.742  0.04
6 Mn 0.000 0.000 0.500  3.83
7 Pd 0.500 0.000 0.742  0.04
8 In 0.000 0.000 0.000  -0.02

- space group = P4/mmm
- calculated formation energy (eV/atom) = -0.322
- D(E_F) (states/eV per cell) = 10.06

=====

No. 8
An optimized crystal structure of Mn2InPd. Source: Alexandria via LeMat-Bulk, functional GGA-PBE.

Unit cell a=7.095 b=7.095 c=5.633 alpha=50.96 beta=50.96 gamma=90.00
Site moments in Bohr magnetons follow the coordinates.
Element x y z (fractional)
1 Pd 0.250 0.750 0.500  0.03
2 In 0.000 0.000 0.000  -0.01
3 Mn 0.875 0.856 0.750  0.15
4 In 0.750 0.250 0.500  -0.01
5 Mn 0.144 0.625 0.250  0.17
6 Mn 0.375 0.394 0.750  0.15
7 Pd 0.500 0.500 0.000  0.03
8 Mn 0.606 0.125 0.250  0.16

- space group = I-42d
- calculated formation energy (eV/atom) = 0.885
- D(E_F) (states/eV per cell) = 17.14

=====

No. 9
An optimized crystal structure of Mn3InPd12. Source: Alexandria via LeMat-Bulk, functional GGA-PBE.

Unit cell a=3.956 b=3.956 c=15.762 alpha=90.00 beta=90.00 gamma=90.00
Site moments in Bohr magnetons follow the coordinates.
Element x y z (fractional)
1 Pd 0.500 0.500 0.254  0.13
2 Pd 0.500 0.000 0.377  0.15
3 Mn 0.000 0.000 0.253  3.87
4 Pd 0.500 0.500 0.000  0.01
5 Mn 0.000 0.000 0.500  3.90
6 Pd 0.000 0.500 0.131  0.06
7 Pd 0.500 0.500 0.500  0.16
8 Mn 0.000 0.000 0.747  3.87
9 Pd 0.500 0.000 0.869  0.06
10 Pd 0.000 0.500 0.869  0.06
11 Pd 0.500 0.000 0.131  0.06
12 In 0.000 0.000 0.000  -0.02
13 Pd 0.000 0.500 0.623  0.15
14 Pd 0.500 0.000 0.623  0.15
15 Pd 0.500 0.500 0.746  0.13
16 Pd 0.000 0.500 0.377  0.15

- space group = P4/mmm
- calculated formation energy (eV/atom) = -0.271
- D(E_F) (states/eV per cell) = 18.73

=====

No. 10
An optimized crystal structure of MnIn2Pd8. Source: Alexandria via LeMat-Bulk, functional GGA-PBE.

Unit cell a=4.008 b=7.804 c=7.391 alpha=121.87 beta=105.73 gamma=90.00
Site moments in Bohr magnetons follow the coordinates.
Element x y z (fractional)
1 Pd 0.000 0.749 0.000  0.07
2 In 0.163 0.663 0.326  -0.01
3 Pd 0.162 0.162 0.324  0.07
4 Pd 0.336 0.088 0.673  0.06
5 Pd 0.838 0.838 0.676  0.07
6 In 0.837 0.337 0.674  -0.01
7 Pd 0.664 0.912 0.327  0.06
8 Mn 0.500 0.000 0.000  3.93
9 Pd 0.000 0.251 0.000  0.07
10 Pd 0.336 0.584 0.673  0.06
11 Pd 0.664 0.416 0.327  0.06

- space group = Immm
- calculated formation energy (eV/atom) = -0.316
- D(E_F) (states/eV per cell) = 5.76

=====

No. 11
An optimized crystal structure of MnIn3Pd6. Source: Alexandria via LeMat-Bulk, functional GGA-PBE.

Unit cell a=4.710 b=7.645 c=10.075 alpha=112.00 beta=90.00 gamma=90.00
Site moments in Bohr magnetons follow the coordinates.
Element x y z (fractional)
1 Pd 0.750 0.336 0.322  0.05
2 Pd 0.250 0.664 0.678  0.05
3 Pd 0.250 0.464 0.078  0.01
4 Pd 0.750 0.536 0.922  0.01
5 In 0.250 0.784 0.985  0.00
6 Pd 0.250 0.860 0.297  0.12
7 Pd 0.750 0.140 0.703  0.12
8 Pd 0.250 0.157 0.182  0.04
9 In 0.750 0.460 0.618  -0.01
10 Mn 0.250 0.954 0.585  3.98
11 Pd 0.250 0.064 0.870  0.06
12 In 0.250 0.540 0.382  -0.01
13 In 0.750 0.216 0.015  0.00
14 Mn 0.750 0.046 0.415  3.98
15 In 0.250 0.357 0.783  -0.01
16 Pd 0.750 0.753 0.512  0.11
17 In 0.750 0.643 0.217  -0.01
18 Pd 0.250 0.247 0.488  0.11
19 Pd 0.750 0.843 0.818  0.04
20 Pd 0.750 0.936 0.130  0.06

- space group = P2_1/m
- calculated formation energy (eV/atom) = -0.417
- D(E_F) (states/eV per cell) = 7.27

=====

No. 12
An optimized crystal structure of MnIn2Pd5. Source: Alexandria via LeMat-Bulk, functional GGA-PBE.

Unit cell a=4.718 b=4.718 c=6.838 alpha=110.18 beta=110.18 gamma=90.00
Site moments in Bohr magnetons follow the coordinates.
Element x y z (fractional)
1 In 0.255 0.255 0.510  -0.01
2 Pd 0.877 0.377 0.753  0.07
3 In 0.745 0.745 0.490  -0.01
4 Pd 0.123 0.623 0.247  0.07
5 Pd 0.377 0.877 0.753  0.07
6 Pd 0.500 0.500 0.000  0.06
7 Pd 0.623 0.123 0.247  0.07
8 Mn 0.000 0.000 0.000  4.07

- space group = I4/mmm
- calculated formation energy (eV/atom) = -0.360
- D(E_F) (states/eV per cell) = 3.62

=====

No. 13
An optimized crystal structure of Mn2InPd9. Source: Alexandria via LeMat-Bulk, functional GGA-PBE.

Unit cell a=3.961 b=3.961 c=11.876 alpha=90.00 beta=90.00 gamma=90.00
Site moments in Bohr magnetons follow the coordinates.
Element x y z (fractional)
1 Pd 0.500 0.000 0.826  0.06
2 Pd 0.500 0.000 0.174  0.06
3 Pd 0.500 0.500 0.663  0.14
4 Pd 0.500 0.500 0.000  -0.01
5 Mn 0.000 0.000 0.336  3.87
6 Pd 0.000 0.500 0.826  0.06
7 Mn 0.000 0.000 0.664  3.87
8 Pd 0.000 0.500 0.500  0.15
9 Pd 0.500 0.000 0.500  0.15
10 In 0.000 0.000 0.000  -0.01
11 Pd 0.500 0.500 0.337  0.14
12 Pd 0.000 0.500 0.174  0.06

- space group = P4/mmm
- calculated formation energy (eV/atom) = -0.289
- D(E_F) (states/eV per cell) = 13.68

=====

No. 14
An optimized crystal structure of MnIn3Pd12. Source: Alexandria via LeMat-Bulk, functional GGA-PBE.

Unit cell a=4.013 b=4.013 c=15.976 alpha=90.00 beta=90.00 gamma=90.00
Site moments in Bohr magnetons follow the coordinates.
Element x y z (fractional)
1 Pd 0.500 0.500 0.245  0.01
2 Pd 0.500 0.500 0.755  0.01
3 Pd 0.000 0.500 0.373  -0.01
4 Pd 0.500 0.000 0.627  -0.01
5 In 0.000 0.000 0.247  -0.01
6 In 0.000 0.000 0.753  -0.01
7 Pd 0.500 0.000 0.882  0.07
8 Mn 0.000 0.000 0.000  3.83
9 Pd 0.500 0.500 0.500  -0.01
10 Pd 0.500 0.000 0.118  0.07
11 Pd 0.500 0.000 0.373  -0.01
12 Pd 0.000 0.500 0.882  0.07
13 Pd 0.000 0.500 0.627  -0.01
14 Pd 0.000 0.500 0.118  0.07
15 In 0.000 0.000 0.500  0.00
16 Pd 0.500 0.500 0.000  0.14

- space group = P4/mmm
- calculated formation energy (eV/atom) = -0.378
- D(E_F) (states/eV per cell) = 16.10

=====

No. 15
An optimized crystal structure of Mn4InPd5. Source: Alexandria via LeMat-Bulk, functional GGA-PBE.

Unit cell a=3.168 b=3.168 c=15.694 alpha=90.00 beta=90.00 gamma=90.00
Site moments in Bohr magnetons follow the coordinates.
Element x y z (fractional)
1 Mn 0.000 0.000 0.791  3.92
2 Pd 0.500 0.500 0.888  0.12
3 Pd 0.500 0.500 0.694  0.33
4 Pd 0.500 0.500 0.112  0.12
5 Pd 0.500 0.500 0.306  0.33
6 Mn 0.000 0.000 0.209  3.92
7 Pd 0.500 0.500 0.500  0.34
8 Mn 0.000 0.000 0.597  3.95
9 Mn 0.000 0.000 0.403  3.95
10 In 0.000 0.000 0.000  -0.02

- space group = P4/mmm
- calculated formation energy (eV/atom) = -0.251
- D(E_F) (states/eV per cell) = 4.13

=====

No. 16
An optimized crystal structure of MnIn3Pd4. Source: Alexandria via LeMat-Bulk, functional GGA-PBE.

Unit cell a=4.575 b=6.588 c=9.148 alpha=90.00 beta=90.00 gamma=90.00
Site moments in Bohr magnetons follow the coordinates.
Element x y z (fractional)
1 In 0.498 0.000 0.250  -0.01
2 Pd 0.500 0.744 0.500  0.05
3 Pd 0.003 0.256 0.750  0.05
4 In 0.497 0.500 0.250  -0.03
5 Pd 0.997 0.744 0.250  0.05
6 In 0.000 0.000 0.000  -0.02
7 Pd 0.003 0.744 0.750  0.05
8 Pd 0.500 0.256 0.500  0.05
9 Pd 0.500 0.256 0.000  0.05
10 In 0.502 0.000 0.750  -0.01
11 Pd 0.997 0.256 0.250  0.05
12 Mn 0.000 0.500 0.500  4.00
13 Pd 0.500 0.744 0.000  0.05
14 Mn 0.000 0.500 0.000  4.00
15 In 0.503 0.500 0.750  -0.03
16 In 0.000 0.000 0.500  -0.02

- space group = Pmma
- calculated formation energy (eV/atom) = -0.431
- D(E_F) (states/eV per cell) = 7.74

=====

No. 17
An optimized crystal structure of MnInPd6. Source: Alexandria via LeMat-Bulk, functional GGA-PBE.

Unit cell a=6.948 b=7.479 c=5.115 alpha=42.87 beta=47.17 gamma=57.51
Site moments in Bohr magnetons follow the coordinates.
Element x y z (fractional)
1 Pd 0.251 0.054 0.236  0.07
2 Pd 0.459 0.251 0.345  0.07
3 Pd 0.946 0.460 0.844  0.07
4 Mn 0.500 0.500 0.500  4.00
5 In 0.000 0.000 0.000  -0.01
6 Pd 0.749 0.946 0.764  0.07
7 Pd 0.054 0.540 0.156  0.07
8 Pd 0.541 0.749 0.655  0.07

- space group = P-1
- calculated formation energy (eV/atom) = -0.198
- D(E_F) (states/eV per cell) = 4.42

=====

No. 18
An optimized crystal structure of Mn2InPdRu. Source: Alexandria via LeMat-Bulk, functional GGA-PBE.

Unit cell a=4.649 b=5.051 c=4.649 alpha=90.00 beta=90.00 gamma=90.00
Site moments in Bohr magnetons follow the coordinates.
Element x y z (fractional)
1 Ru 0.000 0.000 0.000  0.02
2 Mn 0.500 0.000 0.000  3.91
3 In 0.000 0.500 0.000  -0.03
4 Mn 0.000 0.000 0.500  3.69
5 Pd 0.500 0.500 0.500  0.06

- space group = P4/mmm
- calculated formation energy (eV/atom) = 0.856
- D(E_F) (states/eV per cell) = 4.86

=====

No. 19
An optimized crystal structure of ScMn2InPd. Source: Alexandria via LeMat-Bulk, functional GGA-PBE.

Unit cell a=4.910 b=4.957 c=4.910 alpha=90.00 beta=90.00 gamma=90.00
Site moments in Bohr magnetons follow the coordinates.
Element x y z (fractional)
1 Mn 0.000 0.000 0.500  3.98
2 Sc 0.500 0.500 0.500  -0.29
3 In 0.000 0.000 0.000  -0.08
4 Pd 0.000 0.500 0.000  0.11
5 Mn 0.500 0.000 0.000  3.65

- space group = P4/mmm
- calculated formation energy (eV/atom) = 0.830
- D(E_F) (states/eV per cell) = 6.55

=====

No. 20
An optimized crystal structure of TaMnInPd2. Source: Alexandria via LeMat-Bulk, functional GGA-PBE.

Unit cell a=4.728 b=4.676 c=4.728 alpha=90.00 beta=90.00 gamma=90.00
Site moments in Bohr magnetons follow the coordinates.
Element x y z (fractional)
1 Mn 0.000 0.500 0.000  -0.01
2 Pd 0.500 0.000 0.000  0.05
3 Pd 0.000 0.000 0.500  0.02
4 In 0.000 0.000 0.000  0.00
5 Ta 0.500 0.500 0.500  0.56

- space group = P4/mmm
- calculated formation energy (eV/atom) = 1.561
- D(E_F) (states/eV per cell) = 6.24

=====

No. 21
An optimized crystal structure of MnZn2In2Pd5. Source: Alexandria via LeMat-Bulk, functional GGA-PBE.

Unit cell a=3.775 b=9.429 c=9.429 alpha=90.00 beta=90.00 gamma=90.00
Site moments in Bohr magnetons follow the coordinates.
Element x y z (fractional)
1 Pd 0.500 0.192 0.087  0.09
2 Mn 0.000 0.000 0.000  4.06
3 Pd 0.500 0.913 0.192  0.09
4 Pd 0.500 0.087 0.808  0.09
5 Pd 0.500 0.308 0.587  0.09
6 Pd 0.500 0.000 0.500  0.03
7 Zn 0.000 0.127 0.627  0.01
8 In 0.000 0.171 0.329  -0.01
9 Pd 0.500 0.587 0.692  0.09
10 Mn 0.000 0.500 0.500  4.06
11 Pd 0.500 0.500 0.000  0.03
12 In 0.000 0.671 0.171  -0.01
13 In 0.000 0.329 0.829  -0.01
14 Pd 0.500 0.413 0.308  0.09
15 Pd 0.500 0.808 0.913  0.09
16 In 0.000 0.829 0.671  -0.01
17 Zn 0.000 0.873 0.373  0.01
18 Zn 0.000 0.627 0.873  0.01
19 Pd 0.500 0.692 0.413  0.09
20 Zn 0.000 0.373 0.127  0.01

- space group = P4/mbm
- calculated formation energy (eV/atom) = -0.304
- D(E_F) (states/eV per cell) = 9.63

=====

No. 22
An optimized crystal structure of PmPrMnIn. Source: Alexandria via LeMat-Bulk, functional GGA-PBE.

Unit cell a=5.374 b=5.374 c=5.374 alpha=60.00 beta=60.00 gamma=60.00
Site moments in Bohr magnetons follow the coordinates.
Element x y z (fractional)
1 Pm 0.250 0.250 0.250  -0.23
2 Mn 0.000 0.000 0.000  3.82
3 Pr 0.750 0.750 0.750  -0.20
4 In 0.500 0.500 0.500  0.02

- space group = F-43m
- calculated formation energy (eV/atom) = -0.055
- D(E_F) (states/eV per cell) = 5.04